Density functional theory data (PBE) for crystalline Ca3RuBr at its relaxed geometry.

abc: 5.4668 5.4668 5.4668
angles: 90.00 90.00 90.00
Element x y z (fractional)
Ca 0.0000 0.0000 0.5000
Ca 0.0000 0.5000 0.0000
Ca 0.5000 0.0000 0.0000
Ru 0.0000 0.0000 0.0000
Br 0.5000 0.5000 0.5000

Properties
The calculation puts the total energy at -0.2644 Ry per atom. As for the formation energy from raw total energies: -207 meV/atom. As for the symmetry: Pm-3m (221). The density of states at the Fermi level is 0.8016 states/eV/atom. The polymorph energy (0 for the lowest one) comes out at 0 meV per atom.

=====

Density functional theory data (PBE) for crystalline CaRu2Br at its relaxed geometry.

abc: 5.6462 5.6462 5.6462
angles: 147.88 128.67 61.86
Element x y z (fractional)
Ca 0.0000 0.0000 0.0000
Ru 0.2927 0.7927 0.5000
Ru 0.5097 0.5097 0.0000
Br 0.7301 0.2301 0.5000

Properties
The calculation puts the total energy at -0.3729 Ry per atom. As for the formation energy from raw total energies: 483 meV/atom. As for the symmetry: Imm2 (44). The density of states at the Fermi level is 1.2149 states/eV/atom. The polymorph energy (0 for the lowest one) comes out at 533 meV per atom.

=====

Density functional theory data (PBE) for crystalline CaSiRu2Br at its relaxed geometry.

abc: 4.4667 4.4667 5.8654
angles: 90.00 90.00 90.00
Element x y z (fractional)
Ca 0.0000 0.0000 0.0000
Si 0.5000 0.5000 0.5000
Ru 0.0000 0.5000 0.5000
Ru 0.5000 0.0000 0.5000
Br 0.5000 0.5000 0.0000

Properties
The calculation puts the total energy at -0.3831 Ry per atom. As for the formation energy from raw total energies: 317 meV/atom. As for the symmetry: P4/mmm (123). The density of states at the Fermi level is 1.3300 states/eV/atom.

=====

Density functional theory data (PBE) for crystalline CaZr2RuBr at its relaxed geometry.

abc: 5.2361 5.2361 4.9566
angles: 90.00 90.00 90.00
Element x y z (fractional)
Ca 0.0000 0.0000 0.0000
Zr 0.0000 0.5000 0.0000
Zr 0.5000 0.0000 0.0000
Ru 0.5000 0.5000 0.5000
Br 0.0000 0.0000 0.5000

Properties
The calculation puts the total energy at -0.3107 Ry per atom. As for the formation energy from raw total energies: 1782 meV/atom. As for the symmetry: P4/mmm (123). The density of states at the Fermi level is 1.3546 states/eV/atom.

=====

Density functional theory data (PBE) for crystalline CaSBr3 at its relaxed geometry.

abc: 5.3055 5.3055 5.3055
angles: 90.00 90.00 90.00
Element x y z (fractional)
Ca 0.0000 0.0000 0.0000
S 0.5000 0.5000 0.5000
Br 0.0000 0.5000 0.5000
Br 0.5000 0.0000 0.5000
Br 0.5000 0.5000 0.0000

Properties
The calculation puts the total energy at -0.1966 Ry per atom. As for the formation energy from raw total energies: -445 meV/atom. As for the symmetry: Pm-3m (221). The density of states at the Fermi level is 0.2830 states/eV/atom. The polymorph energy (0 for the lowest one) comes out at 76 meV per atom.

=====

Density functional theory data (PBE) for crystalline CaS2Br at its relaxed geometry.

abc: 5.1843 5.1843 5.1843
angles: 57.99 57.99 57.99
Element x y z (fractional)
Ca 0.0000 0.0000 0.0000
S 0.2110 0.2110 0.2110
S 0.7890 0.7890 0.7890
Br 0.5000 0.5000 0.5000

Properties
The calculation puts the total energy at -0.2444 Ry per atom. As for the formation energy from raw total energies: -343 meV/atom. As for the symmetry: R-3m (166). The density of states at the Fermi level is 1.1010 states/eV/atom. The polymorph energy (0 for the lowest one) comes out at 788 meV per atom.

=====

Density functional theory data (PBE) for crystalline Ca2SBr2 at its relaxed geometry.

abc: 4.1537 4.1537 10.3209
angles: 90.52 90.52 60.00
Element x y z (fractional)
Ca 0.1691 0.1691 0.1576
Ca 0.8309 0.8309 0.8424
S 0.5000 0.5000 0.0000
Br 0.1618 0.1618 0.6854
Br 0.8382 0.8382 0.3146

Properties
The calculation puts the total energy at -0.3213 Ry per atom. As for the formation energy from raw total energies: -2077 meV/atom. As for the symmetry: C2/m (12). The density of states at the Fermi level is 0.0000 states/eV/atom.

=====

Density functional theory data (PBE) for crystalline CaS2Br at its relaxed geometry.

abc: 8.8073 8.8073 8.8073
angles: 143.93 143.93 51.93
Element x y z (fractional)
Ca 0.0000 0.0000 0.0000
Ca 0.7500 0.2500 0.5000
S 0.1424 0.6250 0.0174
S 0.3750 0.3924 0.5174
S 0.6076 0.1250 0.9826
S 0.8750 0.8576 0.4826
Br 0.2500 0.7500 0.5000
Br 0.5000 0.5000 0.0000

Properties
The calculation puts the total energy at -0.2450 Ry per atom. As for the formation energy from raw total energies: -352 meV/atom. As for the symmetry: I-42d (122). The density of states at the Fermi level is 0.2030 states/eV/atom. The polymorph energy (0 for the lowest one) comes out at 780 meV per atom.

=====

Density functional theory data (PBE) for crystalline CaS3Br at its relaxed geometry.

abc: 4.9064 4.9064 4.9064
angles: 90.00 90.00 90.00
Element x y z (fractional)
Ca 0.0000 0.0000 0.0000
S 0.0000 0.5000 0.5000
S 0.5000 0.0000 0.5000
S 0.5000 0.5000 0.0000
Br 0.5000 0.5000 0.5000

Properties
The calculation puts the total energy at -0.2353 Ry per atom. As for the formation energy from raw total energies: 10 meV/atom. As for the symmetry: Pm-3m (221). The density of states at the Fermi level is 0.5764 states/eV/atom. The polymorph energy (0 for the lowest one) comes out at 0 meV per atom.

=====

Density functional theory data (PBE) for crystalline CaS2Br at its relaxed geometry.

abc: 4.3967 5.7658 9.1720
angles: 90.00 103.90 90.00
Element x y z (fractional)
Ca 0.1603 0.2500 0.3214
Ca 0.8397 0.7500 0.6786
S 0.4269 0.5749 0.8529
S 0.4269 0.9251 0.8529
S 0.5731 0.0749 0.1471
S 0.5731 0.4251 0.1471
Br 0.2190 0.7500 0.4379
Br 0.7810 0.2500 0.5621

Properties
The calculation puts the total energy at -0.3023 Ry per atom. As for the formation energy from raw total energies: -1131 meV/atom. As for the symmetry: P2_1/m (11). The density of states at the Fermi level is 0.0062 states/eV/atom. The polymorph energy (0 for the lowest one) comes out at 0 meV per atom.

=====

Density functional theory data (PBE) for crystalline CaS2Br at its relaxed geometry.

abc: 7.8384 7.8384 7.8384
angles: 32.16 32.16 32.16
Element x y z (fractional)
Ca 0.0000 0.0000 0.0000
S 0.3914 0.3914 0.3914
S 0.6086 0.6086 0.6086
Br 0.5000 0.5000 0.5000

Properties
The calculation puts the total energy at -0.2720 Ry per atom. As for the formation energy from raw total energies: -719 meV/atom. As for the symmetry: R-3m (166). The density of states at the Fermi level is 1.7705 states/eV/atom. The polymorph energy (0 for the lowest one) comes out at 412 meV per atom.

=====

Density functional theory data (PBE) for crystalline CaS2Br2 at its relaxed geometry.

abc: 5.6834 5.6834 5.6834
angles: 115.97 115.97 97.14
Element x y z (fractional)
Ca 0.0000 0.0000 0.0000
S 0.3740 0.3740 0.0000
S 0.6260 0.6260 0.0000
Br 0.2500 0.7500 0.5000
Br 0.7500 0.2500 0.5000

Properties
The calculation puts the total energy at -0.2404 Ry per atom. As for the formation energy from raw total energies: -551 meV/atom. As for the symmetry: I4/mmm (139). The density of states at the Fermi level is 0.3760 states/eV/atom. The polymorph energy (0 for the lowest one) comes out at 185 meV per atom.